(1)
A geometry-optimized RbNa6Tl2 structure, computed with GGA-PBE.

a b c (Å): 5.703 5.703 10.559
angles (deg): 90.00 90.00 90.00
Fractional coordinates of all 9 atoms:
Rb (0.000, 0.000, 0.000)
Na (0.000, 0.000, 0.500)
Na (0.000, 0.500, 0.290)
Na (0.000, 0.500, 0.710)
Na (0.500, 0.000, 0.290)
Na (0.500, 0.000, 0.710)
Na (0.500, 0.500, 0.500)
Tl (0.500, 0.500, 0.143)
Tl (0.500, 0.500, 0.857)

Energy of formation from the pure elements = -24.7 meV/atom
N(E_F) = 0.32 states/eV per atom


(2)
A geometry-optimized RbNa3Tl2 structure, computed with GGA-PBE.

a b c (Å): 8.288 8.288 6.695
angles (deg): 90.00 90.00 84.23
Fractional coordinates of all 12 atoms:
Rb (0.133, 0.867, 0.750)
Rb (0.867, 0.133, 0.250)
Na (0.060, 0.571, 0.250)
Na (0.429, 0.940, 0.250)
Na (0.487, 0.513, 0.750)
Na (0.513, 0.487, 0.250)
Na (0.571, 0.060, 0.750)
Na (0.940, 0.429, 0.750)
Tl (0.265, 0.265, 0.000)
Tl (0.265, 0.265, 0.500)
Tl (0.735, 0.735, 0.000)
Tl (0.735, 0.735, 0.500)

Energy of formation from the pure elements = -68.3 meV/atom
N(E_F) = 0.48 states/eV per atom
ΔE to the lowest computed polymorph = 0.000 eV/atom


(3)
A geometry-optimized RbNaTl structure, computed with GGA-PBE.

a b c (Å): 7.433 7.433 7.433
angles (deg): 146.17 146.17 48.60
Fractional coordinates of all 3 atoms:
Rb (0.000, 0.000, 0.000)
Na (0.717, 0.717, 0.000)
Tl (0.312, 0.312, 0.000)

Energy of formation from the pure elements = -14.4 meV/atom
N(E_F) = 0.92 states/eV per atom
ΔE to the lowest computed polymorph = 0.032 eV/atom


(4)
A geometry-optimized Rb3Na2Tl9 structure, computed with GGA-PBE.

a b c (Å): 10.235 10.235 10.235
angles (deg): 149.47 111.39 76.93
Fractional coordinates of all 14 atoms:
Rb (0.000, 0.000, 0.000)
Rb (0.300, 0.300, 0.000)
Rb (0.700, 0.700, 0.000)
Na (0.308, 0.500, 0.808)
Na (0.692, 0.500, 0.192)
Tl (0.029, 0.674, 0.355)
Tl (0.148, 0.868, 0.281)
Tl (0.319, 0.674, 0.645)
Tl (0.413, 0.132, 0.281)
Tl (0.500, 0.000, 0.500)
Tl (0.587, 0.868, 0.719)
Tl (0.681, 0.326, 0.355)
Tl (0.852, 0.132, 0.719)
Tl (0.971, 0.326, 0.645)

Energy of formation from the pure elements = -83.5 meV/atom
N(E_F) = 0.59 states/eV per atom


(5)
A geometry-optimized RbNa5Tl structure, computed with GGA-PBE.

a b c (Å): 6.825 6.825 14.722
angles (deg): 101.37 101.37 57.44
Fractional coordinates of all 14 atoms:
Rb (0.000, 0.000, 0.000)
Rb (0.000, 0.000, 0.500)
Na (0.242, 0.758, 0.750)
Na (0.262, 0.281, 0.314)
Na (0.281, 0.262, 0.814)
Na (0.313, 0.359, 0.072)
Na (0.359, 0.313, 0.572)
Na (0.641, 0.687, 0.428)
Na (0.687, 0.641, 0.928)
Na (0.719, 0.738, 0.186)
Na (0.738, 0.719, 0.686)
Na (0.758, 0.242, 0.250)
Tl (0.252, 0.748, 0.250)
Tl (0.748, 0.252, 0.750)

Energy of formation from the pure elements = -8.6 meV/atom
N(E_F) = 0.50 states/eV per atom


(6)
A geometry-optimized RbNa6Tl12 structure, computed with GGA-PBE.

a b c (Å): 8.855 8.855 8.855
angles (deg): 103.30 103.30 103.30
Fractional coordinates of all 19 atoms:
Rb (0.000, 0.000, 0.000)
Na (0.285, 0.285, 0.696)
Na (0.285, 0.696, 0.285)
Na (0.304, 0.715, 0.715)
Na (0.696, 0.285, 0.285)
Na (0.715, 0.304, 0.715)
Na (0.715, 0.715, 0.304)
Tl (0.113, 0.500, 0.887)
Tl (0.113, 0.887, 0.500)
Tl (0.115, 0.388, 0.388)
Tl (0.388, 0.115, 0.388)
Tl (0.388, 0.388, 0.115)
Tl (0.500, 0.113, 0.887)
Tl (0.500, 0.887, 0.113)
Tl (0.612, 0.612, 0.885)
Tl (0.612, 0.885, 0.612)
Tl (0.885, 0.612, 0.612)
Tl (0.887, 0.113, 0.500)
Tl (0.887, 0.500, 0.113)

Energy of formation from the pure elements = -17.8 meV/atom
N(E_F) = 0.46 states/eV per atom
ΔE to the lowest computed polymorph = 0.054 eV/atom


Which value of N(E_F) does entry 4 give?
0.59 states/eV per atom


Among the records above, which one has the lowest N(E_F)?
RbNa6Tl2